--- A ---
The following is a GGA-PBE calculation of K2NiMo after structural relaxation, from the Alexandria database.

DOS at the Fermi energy: 5.02 states/eV/cell
Total moment: 0.99 μB/cell
Mass density: 4.375 g/cm3
Symmetry: P4/mmm, No. 123

abc: 2.8005 2.8005 11.2675
angles: 90.00 90.00 90.00
Last column: nearest neighbours and their distance in Å.
Fractional positions:
K1 0.0000 0.0000 0.9773  4 K 2.80
K2 0.0000 0.0000 0.5227  4 K 2.80
Mo1 0.5000 0.5000 0.2500  4 Mo 2.80
Ni1 0.5000 0.5000 0.7500  4 Ni 2.80

--- B ---
The following is a GGA-PBE calculation of K2NiMo after structural relaxation, from the Alexandria database.

DOS at the Fermi energy: 3.97 states/eV/cell
Total moment: 0.01 μB/cell
Mass density: 4.536 g/cm3
Symmetry: Cmmm, No. 65

abc: 2.8068 2.8068 11.4506
angles: 90.00 90.00 109.10
Last column: nearest neighbours and their distance in Å.
Fractional positions:
K1 0.0000 0.0000 0.9776  4 K 2.81, 2 Ni 3.07
K2 0.0000 0.0000 0.5224  4 K 2.81, 2 Ni 3.07
Mo1 0.5000 0.5000 0.2500  4 Mo 2.81
Ni1 0.5000 0.5000 0.7500  4 Ni 2.81, 4 K 3.07

--- C ---
The following is a GGA-PBE calculation of K2NiMo after structural relaxation, from the Alexandria database.

DOS at the Fermi energy: 2.50 states/eV/cell
Total moment: 0.68 μB/cell
Mass density: 3.206 g/cm3
Symmetry: C2/m, No. 12

abc: 10.5008 10.5008 4.1498
angles: 78.55 78.55 15.61
Last column: nearest neighbours and their distance in Å.
Fractional positions:
K1 0.1065 0.1065 0.8940  2 K 2.85
K2 0.3935 0.3935 0.6060  2 K 2.85
Mo1 0.2500 0.2500 0.2500  4 Ni 2.52
Ni1 0.7500 0.7500 0.7500  4 Mo 2.52

--- D ---
The following is a GGA-PBE calculation of K2NiMo after structural relaxation, from the Alexandria database.

DOS at the Fermi energy: 3.56 states/eV/cell
Total moment: 0.26 μB/cell
Mass density: 4.569 g/cm3
Symmetry: R-3m, No. 166

abc: 11.6577 11.6577 11.6577
angles: 14.34 14.34 14.34
Last column: nearest neighbours and their distance in Å.
Fractional positions:
K1 0.0067 0.0067 0.0067  6 K 2.91, 3 Ni 3.14
K2 0.4933 0.4933 0.4933  6 K 2.91, 3 Ni 3.14
Mo1 0.2500 0.2500 0.2500  6 Mo 2.91
Ni1 0.7500 0.7500 0.7500  6 Ni 2.91, 6 K 3.14

Most stable: C. Least stable: A.

--- A ---
The following is a GGA-PBE calculation of K2NiMo after structural relaxation, from the Alexandria database.

DOS at the Fermi energy: 4.54 states/eV/cell
Total moment: 5.62 μB/cell
Mass density: 3.087 g/cm3
Symmetry: Fm-3m, No. 225

abc: 5.6159 5.6159 5.6159
angles: 60.00 60.00 60.00
Last column: nearest neighbours and their distance in Å.
Fractional positions:
Ni1 0.0000 0.0000 0.0000  8 K 3.44
Mo1 0.5000 0.5000 0.5000  8 K 3.44
K1 0.2500 0.2500 0.2500  4 Mo 3.44, 4 Ni 3.44
K2 0.7500 0.7500 0.7500  4 Mo 3.44, 4 Ni 3.44

--- B ---
The following is a GGA-PBE calculation of K2NiMo after structural relaxation, from the Alexandria database.

DOS at the Fermi energy: 3.13 states/eV/cell
Total moment: 3.32 μB/cell
Mass density: 3.161 g/cm3
Symmetry: Imm2, No. 44

abc: 7.1284 7.1284 7.1284
angles: 153.77 129.76 57.55
Last column: nearest neighbours and their distance in Å.
Fractional positions:
K1 0.0421 0.0421 0.0000  2 K 3.23, 2 Ni 3.52
K2 0.7390 0.2390 0.5000  2 K 3.23, 4 Ni 3.50
Mo1 0.4265 0.4265 0.0000  2 Ni 2.33
Ni1 0.2924 0.7924 0.5000  2 Mo 2.33

Most stable: B. Least stable: A.

--- A ---
The following is a GGA-PBE calculation of K2NiMo after structural relaxation, from the Alexandria database.

DOS at the Fermi energy: 4.16 states/eV/cell
Total moment: 4.66 μB/cell
Mass density: 3.654 g/cm3
Symmetry: F-43m, No. 216

abc: 5.3089 5.3089 5.3089
angles: 60.00 60.00 60.00
Last column: nearest neighbours and their distance in Å.
Fractional positions:
K1 0.0000 0.0000 0.0000  4 K 3.25, 4 Ni 3.25
K2 0.2500 0.2500 0.2500  4 Mo 3.25, 4 K 3.25
Mo1 0.5000 0.5000 0.5000  4 Ni 3.25, 4 K 3.25
Ni1 0.7500 0.7500 0.7500  4 K 3.25, 4 Mo 3.25

--- B ---
The following is a GGA-PBE calculation of K2NiMo after structural relaxation, from the Alexandria database.

DOS at the Fermi energy: 4.11 states/eV/cell
Total moment: 0.49 μB/cell
Mass density: 4.464 g/cm3
Symmetry: I4/mmm, No. 139

abc: 6.4084 6.4084 6.4084
angles: 144.89 144.89 50.50
Last column: nearest neighbours and their distance in Å.
Fractional positions:
K1 0.0000 0.0000 0.0000  4 K 2.73
K2 0.5000 0.5000 0.0000  4 K 2.73
Mo1 0.2500 0.7500 0.5000  4 Ni 2.73
Ni1 0.7500 0.2500 0.5000  4 Mo 2.73

Most stable: B. Least stable: A.